<a>
Computed, not measured: an optimized crystal structure of Ce2CuCl8 at the PBE-GGA level of DFT.

Lattice parameters (Å, degrees): 7.0871 7.0871 6.9364 101.51 101.51 73.68
Closest atoms and distances in Å follow each position.
Positions (direct):
Ce1 0.1867 0.1867 0.4529  7 Cl 2.70-2.83
Ce2 0.8133 0.8133 0.5471  7 Cl 2.70-2.83
Cu1 0.5000 0.5000 0.5000  2 Cl 2.17
Cl1 0.0636 0.0636 0.7466  2 Ce 2.74-2.83
Cl2 0.1531 0.5527 0.7070  2 Ce 2.77-2.81, 1 Cu 2.99
Cl3 0.3522 0.3522 0.2322  1 Cu 2.17
Cl4 0.4473 0.8469 0.2930  2 Ce 2.77-2.81, 1 Cu 2.99
Cl5 0.5527 0.1531 0.7070  2 Ce 2.77-2.81, 1 Cu 2.99
Cl6 0.6478 0.6478 0.7678  1 Cu 2.17
Cl7 0.8469 0.4473 0.2930  2 Ce 2.77-2.81, 1 Cu 2.99
Cl8 0.9364 0.9364 0.2534  2 Ce 2.74-2.83

Output
- SG = No. 12
- size of the total moment (μB per formula unit) = 1.01

=====

<b>
Computed, not measured: an optimized crystal structure of Ce2CuCl8 at the PBE-GGA level of DFT.

Lattice parameters (Å, degrees): 10.0758 10.0758 7.9845 96.15 96.15 22.15
Closest atoms and distances in Å follow each position.
Positions (direct):
Ce1 0.1559 0.1559 0.3090  7 Cl 2.72-2.87
Ce2 0.8441 0.8441 0.6910  7 Cl 2.72-2.87
Cu1 0.5000 0.5000 0.0000  6 Cl 2.49-2.74
Cl1 0.0132 0.0132 0.1965  2 Cu 2.49
Cl2 0.2361 0.2361 0.6639  3 Ce 2.87-3.09, 1 Cl 3.18
Cl3 0.3609 0.3609 0.9501  1 Cu 2.74, 2 Ce 2.83
Cl4 0.3976 0.3976 0.5052  2 Ce 2.72
Cl5 0.6024 0.6024 0.4948  2 Ce 2.72
Cl6 0.6391 0.6391 0.0499  1 Cu 2.74, 2 Ce 2.83
Cl7 0.7639 0.7639 0.3361  3 Ce 2.87-3.09, 1 Cl 3.18
Cl8 0.9868 0.9868 0.8035  2 Cu 2.49

Output
- SG = No. 12
- size of the total moment (μB per formula unit) = 1.65

=====

Quick one: most stable of them? <a>

=====

<a>
Computed, not measured: an optimized crystal structure of CeDyCl at the PBE-GGA level of DFT.

Lattice parameters (Å, degrees): 3.5835 3.5835 15.8645 97.73 97.73 58.96
Closest atoms and distances in Å follow each position.
Positions (direct):
Ce1 0.1505 0.1505 0.0803  1 Ce 2.92
Ce2 0.8495 0.8495 0.9197  1 Ce 2.92
Dy1 0.4240 0.4240 0.7330  3 Cl 2.76
Dy2 0.5760 0.5760 0.2670  3 Cl 2.76
Cl1 0.2918 0.2918 0.3841  3 Dy 2.76
Cl2 0.7082 0.7082 0.6159  3 Dy 2.76

Output
- SG = No. 12
- size of the total moment (μB per formula unit) = 0.00

=====

<b>
Computed, not measured: an optimized crystal structure of CeDyCl at the PBE-GGA level of DFT.

Lattice parameters (Å, degrees): 3.5771 3.5771 7.3863 90.00 90.00 120.00
Closest atoms and distances in Å follow each position.
Positions (direct):
Ce1 0.0000 0.0000 0.0000  3 Cl 3.22, 3 Dy 3.51, 6 Ce 3.58
Dy1 0.6667 0.3333 0.3846  3 Cl 2.93
Cl1 0.3333 0.6667 0.6660  3 Dy 2.93, 3 Ce 3.22

Output
- SG = No. 156
- size of the total moment (μB per formula unit) = 1.52

=====

Quick one: most stable of them? <a>

=====

<a>
Computed, not measured: an optimized crystal structure of CeClF2 at the PBE-GGA level of DFT.

Lattice parameters (Å, degrees): 5.4979 5.4979 7.2469 90.00 90.00 137.84
Closest atoms and distances in Å follow each position.
Positions (direct):
Ce1 0.2357 0.7643 0.7500  6 F 2.45
Ce2 0.7643 0.2357 0.2500  6 F 2.45
Cl1 0.0489 0.9511 0.2500  3 Ce 2.92-2.97, 2 F 3.08
Cl2 0.9511 0.0489 0.7500  3 Ce 2.92-2.97, 2 F 3.08
F1 0.3199 0.6801 0.0667  3 Ce 2.45, 3 F 2.63-2.66
F2 0.3199 0.6801 0.4333  3 Ce 2.45, 3 F 2.63-2.66
F3 0.6801 0.3199 0.5667  3 Ce 2.45, 3 F 2.63-2.66
F4 0.6801 0.3199 0.9333  3 Ce 2.45, 3 F 2.63-2.66

Output
- SG = No. 63
- size of the total moment (μB per formula unit) = 1.00

=====

<b>
Computed, not measured: an optimized crystal structure of CeClF2 at the PBE-GGA level of DFT.

Lattice parameters (Å, degrees): 5.4829 5.4829 5.4829 43.61 43.61 43.61
Closest atoms and distances in Å follow each position.
Positions (direct):
Ce1 0.0000 0.0000 0.0000  6 F 2.42
Cl1 0.5000 0.5000 0.5000  8 F 3.03-3.04
F1 0.2962 0.2962 0.2962  3 Ce 2.42, 3 F 2.60
F2 0.7038 0.7038 0.7038  3 Ce 2.42, 3 F 2.60

Output
- SG = No. 166
- size of the total moment (μB per formula unit) = 1.00

=====

Quick one: most stable of them? <a>

=====

<a>
Computed, not measured: an optimized crystal structure of CeCl2F2 at the PBE-GGA level of DFT.

Lattice parameters (Å, degrees): 6.7396 6.7396 3.8764 90.00 90.00 140.53
Closest atoms and distances in Å follow each position.
Positions (direct):
Ce1 0.0000 0.0000 0.0000  4 F 2.29
Cl1 0.3739 0.6261 0.0000  2 Ce 2.78, 4 F 3.01
Cl2 0.6261 0.3739 0.0000  2 Ce 2.78, 4 F 3.01
F1 0.0963 0.9037 0.5000  2 Ce 2.29, 1 F 2.44
F2 0.9037 0.0963 0.5000  2 Ce 2.29, 1 F 2.44

Output
- SG = No. 65
- size of the total moment (μB per formula unit) = 0.00

=====

<b>
Computed, not measured: an optimized crystal structure of CeCl2F2 at the PBE-GGA level of DFT.

Lattice parameters (Å, degrees): 6.8311 6.8311 7.0641 90.23 90.23 119.40
Closest atoms and distances in Å follow each position.
Positions (direct):
Ce1 0.1355 0.8645 0.0000  4 F 2.32
Ce2 0.8645 0.1355 0.0000  4 F 2.32
Cl1 0.0087 0.5040 0.2356  2 Ce 2.74-2.76
Cl2 0.4960 0.9913 0.7644  2 Ce 2.74-2.76
Cl3 0.5040 0.0087 0.2356  2 Ce 2.74-2.76
Cl4 0.9913 0.4960 0.7644  2 Ce 2.74-2.76
F1 0.0069 0.0069 0.2374  2 Ce 2.32, 2 F 2.37
F2 0.2435 0.2435 0.9949  2 Ce 2.32, 2 F 2.37
F3 0.7565 0.7565 0.0051  2 Ce 2.32, 2 F 2.37
F4 0.9931 0.9931 0.7626  2 Ce 2.32, 2 F 2.37

Output
- SG = No. 12
- size of the total moment (μB per formula unit) = 0.00

=====

Quick one: most stable of them? <a>

=====

<a>
Computed, not measured: an optimized crystal structure of Ce2FeCl at the PBE-GGA level of DFT.

Lattice parameters (Å, degrees): 7.8482 7.8482 7.8482 28.15 28.15 28.15
Closest atoms and distances in Å follow each position.
Positions (direct):
Ce1 0.0000 0.0000 0.0000  3 Fe 2.61
Ce2 0.2023 0.2023 0.2023  3 Fe 2.70
Fe1 0.6044 0.6044 0.6044  6 Ce 2.61-2.70
Cl1 0.4333 0.4333 0.4333  6 Ce 3.16-3.19

Output
- SG = No. 160
- size of the total moment (μB per formula unit) = 1.06

=====

<b>
Computed, not measured: an optimized crystal structure of Ce2FeCl at the PBE-GGA level of DFT.

Lattice parameters (Å, degrees): 7.6972 7.6972 7.6972 29.07 29.07 29.07
Closest atoms and distances in Å follow each position.
Positions (direct):
Ce1 0.2325 0.2325 0.2325  3 Fe 2.66
Ce2 0.7675 0.7675 0.7675  3 Fe 2.66
Fe1 0.5000 0.5000 0.5000  6 Ce 2.66
Cl1 0.0000 0.0000 0.0000  6 Ce 3.15

Output
- SG = No. 166
- size of the total moment (μB per formula unit) = 0.98

=====

Quick one: most stable of them? <b>

=====

<a>
Computed, not measured: an optimized crystal structure of CeGeCl6 at the PBE-GGA level of DFT.

Lattice parameters (Å, degrees): 7.2200 7.2200 7.2200 55.58 55.58 55.58
Closest atoms and distances in Å follow each position.
Positions (direct):
Ce1 0.0000 0.0000 0.0000  6 Cl 2.65
Ge1 0.5000 0.5000 0.5000  6 Cl 2.66
Cl1 0.1050 0.3944 0.7519  1 Ce 2.65, 1 Ge 2.66
Cl2 0.2481 0.8950 0.6056  1 Ce 2.65, 1 Ge 2.66
Cl3 0.3944 0.7519 0.1050  1 Ce 2.65, 1 Ge 2.66
Cl4 0.6056 0.2481 0.8950  1 Ce 2.65, 1 Ge 2.66
Cl5 0.7519 0.1050 0.3944  1 Ce 2.65, 1 Ge 2.66
Cl6 0.8950 0.6056 0.2481  1 Ce 2.65, 1 Ge 2.66

Output
- SG = No. 148
- size of the total moment (μB per formula unit) = 0.00

=====

<b>
Computed, not measured: an optimized crystal structure of CeGeCl6 at the PBE-GGA level of DFT.

Lattice parameters (Å, degrees): 6.9470 6.9470 6.6346 97.52 97.52 122.95
Closest atoms and distances in Å follow each position.
Positions (direct):
Ce1 0.0000 0.0000 0.0000  6 Cl 2.63-2.66
Ge1 0.5000 0.5000 0.5000  6 Cl 2.65-2.66
Cl1 0.1077 0.3939 0.2507  1 Ge 2.65, 1 Ce 2.66
Cl2 0.2484 0.2484 0.7515  1 Ce 2.63, 1 Ge 2.66
Cl3 0.3939 0.1077 0.2507  1 Ge 2.65, 1 Ce 2.66
Cl4 0.6061 0.8923 0.7493  1 Ge 2.65, 1 Ce 2.66
Cl5 0.7516 0.7516 0.2485  1 Ce 2.63, 1 Ge 2.66
Cl6 0.8923 0.6061 0.7493  1 Ge 2.65, 1 Ce 2.66

Output
- SG = No. 12
- size of the total moment (μB per formula unit) = 0.00

=====

Quick one: most stable of them? <b>